Entry 1:
The following is a PBE-GGA calculation of a relaxed PrAl crystal, from the Open Quantum Materials Database.

```
PrAl
1.0
-1.3834 -3.2625 0.4162
2.6087 0.5421 -2.3731
3.4232 -1.0007 3.5344
Pr Al
1 1
Cartesian
2.1338 -0.9762 -0.5597
2.5147 -2.7448 2.1372
```

SG: P-6m2 (187)
Density, g cm⁻³: 5.04
E, eV/atom: -4.293



Entry 2:
The following is a PBE-GGA calculation of a relaxed LaTmSi4Ni2 crystal, from the Open Quantum Materials Database.

```
LaTmSi4Ni2
1.0
4.0263 0.0000 0.0000
0.0000 2.0427 8.2336
0.0000 -2.0427 8.2336
Ni La Si Tm
2 1 4 1
Cartesian
2.0131 0.0000 2.9384
0.0000 0.0000 13.4870
2.0131 0.0000 6.5013
2.0131 0.0000 0.7029
0.0000 0.0000 4.0764
2.0131 0.0000 12.3013
0.0000 0.0000 15.8569
0.0000 0.0000 10.0046
```

SG: Amm2 (38)
Density, g cm⁻³: 6.59
E, eV/atom: -6.086



Entry 3:
The following is a PBE-GGA calculation of a relaxed Tb2HoCd3InGa2 crystal, from the Open Quantum Materials Database.

```
Tb2HoCd3InGa2
1.0
4.5143 0.0000 0.0000
0.0000 6.3325 3.6655
0.0000 -6.3325 3.6655
Ho In Tb Cd Ga
1 1 2 3 2
Cartesian
0.0000 0.0000 4.1261
0.0000 0.0000 7.3259
0.0000 -2.7670 1.6029
0.0000 2.7670 1.6029
2.2571 0.0000 1.8746
2.2571 -1.6140 6.3954
2.2571 1.6140 6.3954
2.2571 -2.1046 3.6658
2.2571 2.1046 3.6658
```

SG: Amm2 (38)
Density, g cm⁻³: 8.51
E, eV/atom: -3.305



Entry 4:
The following is a PBE-GGA calculation of a relaxed TbPr2Hg3PdAu2 crystal, from the Open Quantum Materials Database.

```
TbPr2Hg3PdAu2
1.0
3.9141 0.0000 0.0000
0.0000 6.8812 3.9983
0.0000 -6.8812 3.9983
Tb Pr Hg Au Pd
1 2 3 2 1
Cartesian
0.0000 0.0000 4.8375
0.0000 4.1532 5.5789
0.0000 -4.1532 5.5789
1.9570 -1.7812 6.9441
1.9570 1.7812 6.9441
1.9570 0.0000 2.0894
1.9570 2.2388 4.0166
1.9570 -2.2388 4.0166
0.0000 0.0000 7.9730
```

SG: Amm2 (38)
Density, g cm⁻³: 11.90
Formation energy, meV per atom: -663
E, eV/atom: -3.638